BaZn2Te after structural relaxation. Source: the Alexandria database, functional PBE-GGA.

Cell and atoms, written as POSCAR:
```
BaZn2Te
1.0
4.155 0.000 0.000
0.000 4.155 0.000
0.000 0.000 7.143
Ba Te Zn
1 1 2
Direct
0.000 0.000 0.520
0.500 0.500 0.767
0.000 0.000 0.057
0.500 0.500 0.156
```

Space-group type   P4mm, No. 99
Uncorrected energy   -2.31 eV per atom
Raw formation energy   -409 meV/atom
Density   5329 kg/m3